LiCuCO3: optimized geometry, PBE-GGA.

Uncorrected energy (eV per atom): -6.353
Relative energy among the computed polymorphs (meV per atom): 4.3
Symmetry: Ibca

a b c (Å): 9.3358 9.3358 9.3358
angles (deg): 145.47 144.28 50.53
Fractional positions:
O  0.0305  0.7805  0.2500
O  0.7416  0.9372  0.4649
O  0.0276  0.7233  0.9649
O  0.9695  0.2195  0.7500
O  0.5276  0.5628  0.3044
O  0.9724  0.2767  0.0351
O  0.4695  0.7195  0.7500
O  0.4724  0.4372  0.6956
O  0.7584  0.2233  0.1956
O  0.5305  0.2805  0.2500
O  0.2584  0.0628  0.5351
O  0.2416  0.7767  0.8044
Cu  0.6419  0.7500  0.3919
Cu  0.8581  0.2500  0.1081
Cu  0.1419  0.7500  0.8919
Cu  0.3581  0.2500  0.6081
C  0.3913  0.6413  0.7500
C  0.6087  0.3587  0.2500
C  0.8913  0.1413  0.7500
C  0.1087  0.8587  0.2500
Li  0.7500  0.0037  0.2537
Li  0.2500  0.4963  0.2463
Li  0.7500  0.5037  0.7537
Li  0.2500  0.9963  0.7463

---

LiCuCO3: optimized geometry, PBE-GGA.

Uncorrected energy (eV per atom): -6.315
Relative energy among the computed polymorphs (meV per atom): 43.0
Symmetry: P1

a b c (Å): 3.0602 14.4636 14.4654
angles (deg): 60.02 90.67 90.58
Fractional positions:
Li  0.4796  0.9077  0.2123
Li  0.4558  0.2481  0.5464
Li  0.5234  0.2118  0.8803
Li  0.4817  0.5644  0.8841
Li  0.5437  0.8849  0.5518
Li  0.4783  0.8794  0.9091
Li  0.4600  0.5513  0.5649
Li  0.5544  0.2066  0.2484
Li  0.4882  0.5455  0.2071
O  0.5812  0.2368  0.0002
O  0.9371  0.4377  0.5882
O  0.3447  0.0992  0.5869
O  0.9792  0.5877  0.9742
O  0.0058  0.3219  0.7656
O  0.9834  0.9850  0.0969
O  0.4686  0.4129  0.9269
O  0.6744  0.3148  0.0998
O  0.5479  0.9269  0.6611
O  0.9928  0.7639  0.6492
O  0.0611  0.9738  0.4388
O  0.9997  0.7655  0.9132
O  0.4341  0.9996  0.7643
O  0.0251  0.0959  0.9192
O  0.9707  0.2609  0.6497
O  0.9962  0.6485  0.5877
O  0.9916  0.6489  0.0900
O  0.0084  0.9127  0.3224
O  0.4408  0.6599  0.4135
O  0.9668  0.3225  0.4285
O  0.9864  0.9180  0.9859
O  0.0539  0.2500  0.3234
O  0.0038  0.5871  0.7646
O  0.9820  0.4281  0.2495
O  0.0432  0.0894  0.2619
O  0.6379  0.5856  0.3152
O  0.5508  0.7629  0.2373
Cu  0.8672  0.4562  0.4402
Cu  0.9256  0.1158  0.1139
Cu  0.0941  0.1133  0.7710
Cu  0.9053  0.4407  0.1029
Cu  0.0170  0.7702  0.4427
Cu  0.8998  0.7708  0.1170
Cu  0.1294  0.1036  0.4562
Cu  0.0188  0.4422  0.7877
Cu  0.9815  0.7873  0.7708
C  0.0378  0.9922  0.3411
C  0.5414  0.6689  0.3234
C  0.9708  0.3403  0.6675
C  0.0008  0.3335  0.3338
C  0.9975  0.6666  0.6671
C  0.9983  0.9997  0.0006
C  0.4441  0.0078  0.6702
C  0.9908  0.6671  0.9927
C  0.5730  0.3228  0.0082

---

LiCuCO3: optimized geometry, PBE-GGA.

Uncorrected energy (eV per atom): -6.347
Relative energy among the computed polymorphs (meV per atom): 10.5
Symmetry: Cmme

a b c (Å): 4.1163 4.1163 8.8325
angles (deg): 90.00 90.00 99.95
Fractional positions:
C  0.2500  0.7500  0.7174
C  0.7500  0.2500  0.2826
Cu  0.0000  0.5000  0.0000
Cu  0.5000  0.0000  0.0000
O  0.9669  0.4669  0.2097
O  0.7500  0.2500  0.4251
O  0.0331  0.5331  0.7903
O  0.2500  0.7500  0.5749
O  0.5331  0.0331  0.2097
O  0.4669  0.9669  0.7903
Li  0.7500  0.2500  0.6374
Li  0.2500  0.7500  0.3626

---

LiCuCO3: optimized geometry, PBE-GGA.

Uncorrected energy (eV per atom): -6.358
Relative energy among the computed polymorphs (meV per atom): 0.0
Symmetry: P2_1/c

a b c (Å): 3.1035 4.7100 16.8005
angles (deg): 85.23 90.00 90.00
Fractional positions:
O  0.9875  0.4492  0.3884
O  0.0125  0.4492  0.8884
O  0.2541  0.1512  0.6864
O  0.5083  0.1581  0.0615
O  0.4917  0.1581  0.5615
O  0.7541  0.8623  0.8259
O  0.2459  0.8623  0.3259
O  0.5126  0.5642  0.6239
O  0.4874  0.5642  0.1239
O  0.7459  0.1512  0.1864
O  0.9915  0.8552  0.9509
O  0.0085  0.8552  0.4509
Cu  0.9140  0.3067  0.2837
Cu  0.4140  0.7069  0.2286
Cu  0.5860  0.7069  0.7286
Cu  0.0860  0.3067  0.7837
Li  0.9995  0.8308  0.5677
Li  0.5002  0.1826  0.4445
Li  0.0005  0.8308  0.0677
Li  0.4998  0.1826  0.9445
C  0.0775  0.7220  0.3889
C  0.9225  0.7220  0.8889
C  0.4226  0.2913  0.6234
C  0.5774  0.2913  0.1234

---

Looking at formation energy without anion corrections for the records above, in order, we have -1.34 -1.30 -1.33 -1.34 eV per atom.
Looking at D(E_F) for the records above, in order, we have 0.00 0.00 0.00 0.00 states/eV per atom.
Looking at calculated volume for the records above, in order, we have 267.94 554.54 147.41 244.73 Å³/cell.